--- a ---
Compound: La3SbRu
Source: Alexandria via LeMat-Bulk
Functional: GGA-PBE
Structure: optimized geometry

Calculated values
Space-group type: Pm-3m (221)
Crystal system: cubic
Calculated volume in A^3/atom: 32.2
Fermi-level density of states in states/eV/atom: 1.138

a b c (Å): 5.4400 5.4400 5.4400
angles (deg): 90.00 90.00 90.00
Last column: nearest neighbours and their distance in Å.
Fractional coordinates of all 5 atoms:
1 Sb 0.5000 0.5000 0.5000  12 La 3.85
2 Ru 0.0000 0.0000 0.0000  6 La 2.72
3 La 0.0000 0.5000 0.0000  2 Ru 2.72
4 La 0.0000 0.0000 0.5000  2 Ru 2.72
5 La 0.5000 0.0000 0.0000  2 Ru 2.72

--- b ---
Compound: La3SbRu
Source: Alexandria via LeMat-Bulk
Functional: GGA-PBE
Structure: optimized geometry

Calculated values
Space-group type: P-1 (2)
Crystal system: triclinic
Calculated volume in A^3/atom: 30.8
Fermi-level density of states in states/eV/atom: 0.937

a b c (Å): 5.7662 7.3690 8.7124
angles (deg): 116.56 86.60 110.47
Last column: nearest neighbours and their distance in Å.
Fractional coordinates of all 10 atoms:
1 La 0.4238 0.7641 0.1344  3 Ru 2.90-3.08
2 La 0.1381 0.3405 0.6645  1 Ru 2.75
3 La 0.8872 0.7958 0.7718  1 Ru 2.72
4 La 0.1128 0.2042 0.2282  1 Ru 2.72
5 La 0.5762 0.2359 0.8656  3 Ru 2.90-3.08
6 La 0.8619 0.6595 0.3355  1 Ru 2.75
7 Sb 0.6268 0.2614 0.4609  8 La 3.27-3.60
8 Sb 0.3732 0.7386 0.5391  8 La 3.27-3.60
9 Ru 0.9168 0.6920 0.0316  4 La 2.72-2.94
10 Ru 0.0832 0.3080 0.9684  4 La 2.72-2.94

--- c ---
Compound: La3SbRu
Source: Alexandria via LeMat-Bulk
Functional: GGA-PBE
Structure: optimized geometry

Calculated values
Space-group type: Pnma (62)
Crystal system: orthorhombic
Calculated volume in A^3/atom: 30.4
Fermi-level density of states in states/eV/atom: 0.642

a b c (Å): 4.6093 8.5251 15.4669
angles (deg): 90.00 90.00 90.00
Last column: nearest neighbours and their distance in Å.
Fractional coordinates of all 20 atoms:
1 La 0.2500 0.3531 0.5067  2 Ru 2.99
2 La 0.7500 0.8050 0.2114  1 Ru 2.54
3 La 0.7500 0.5266 0.8930  3 Ru 2.92-2.93
4 La 0.7500 0.0266 0.6070  3 Ru 2.92-2.93
5 La 0.7500 0.6469 0.4933  2 Ru 2.99
6 La 0.2500 0.9734 0.3930  3 Ru 2.92-2.93
7 La 0.2500 0.8531 0.9933  2 Ru 2.99
8 La 0.7500 0.3050 0.2886  1 Ru 2.54
9 La 0.2500 0.6950 0.7114  1 Ru 2.54
10 La 0.2500 0.1950 0.7886  1 Ru 2.54
11 La 0.7500 0.1469 0.0067  2 Ru 2.99
12 La 0.2500 0.4734 0.1070  3 Ru 2.92-2.93
13 Sb 0.7500 0.9139 0.8244  9 La 3.37-3.52
14 Sb 0.2500 0.0861 0.1756  9 La 3.37-3.52
15 Sb 0.7500 0.4139 0.6756  9 La 3.37-3.52
16 Sb 0.2500 0.5861 0.3244  9 La 3.37-3.52
17 Ru 0.2500 0.3295 0.9354  1 La 2.54
18 Ru 0.2500 0.8295 0.5646  1 La 2.54
19 Ru 0.7500 0.1705 0.4354  1 La 2.54
20 Ru 0.7500 0.6705 0.0646  1 La 2.54

Most stable one: c, least stable one: a.

--- a ---
Compound: LaSbTe2Ru
Source: Alexandria via LeMat-Bulk
Functional: GGA-PBE
Structure: optimized geometry

Calculated values
Space-group type: P4/mmm (123)
Crystal system: tetragonal
Calculated volume in A^3/atom: 29.2
Fermi-level density of states in states/eV/atom: 0.626

a b c (Å): 5.4782 5.4782 4.8722
angles (deg): 90.00 90.00 90.00
Last column: nearest neighbours and their distance in Å.
Fractional coordinates of all 5 atoms:
1 Sb 0.0000 0.0000 0.5000  2 Ru 2.44
2 Te 0.0000 0.5000 0.0000  2 Ru 2.74
3 Te 0.5000 0.0000 0.0000  2 Ru 2.74
4 Ru 0.0000 0.0000 0.0000  2 Sb 2.44
5 La 0.5000 0.5000 0.5000  8 Te 3.67, 4 Sb 3.87

--- b ---
Compound: LaSbTe2Ru
Source: Alexandria via LeMat-Bulk
Functional: GGA-PBE
Structure: optimized geometry

Calculated values
Space-group type: P4/mmm (123)
Crystal system: tetragonal
Calculated volume in A^3/atom: 44.5
Fermi-level density of states in states/eV/atom: 1.810

a b c (Å): 6.0460 6.0460 6.0813
angles (deg): 90.00 90.00 90.00
Last column: nearest neighbours and their distance in Å.
Fractional coordinates of all 5 atoms:
1 Sb 0.0000 0.0000 0.5000  2 La 3.04
2 Te 0.0000 0.5000 0.0000  2 La 3.02
3 Te 0.5000 0.0000 0.0000  2 La 3.02
4 Ru 0.5000 0.5000 0.5000  4 Sb 4.28, 8 Te 4.29
5 La 0.0000 0.0000 0.0000  4 Te 3.02, 2 Sb 3.04

Most stable one: a, least stable one: b.

--- a ---
Compound: La2Sc2Ru
Source: Alexandria via LeMat-Bulk
Functional: GGA-PBE
Structure: optimized geometry

Calculated values
Space-group type: I4/mmm (139)
Crystal system: tetragonal
Calculated volume in A^3/atom: 26.3
Fermi-level density of states in states/eV/atom: 2.672

a b c (Å): 3.9002 3.9002 9.0884
angles (deg): 77.61 77.61 90.00
Last column: nearest neighbours and their distance in Å.
Fractional coordinates of all 5 atoms:
1 Sc 0.4221 0.4221 0.1557  1 Sc 2.70
2 Sc 0.5779 0.5779 0.8443  1 Sc 2.70
3 Ru 0.0000 0.0000 0.0000  8 Sc 3.07
4 La 0.7500 0.2500 0.5000  4 La 2.76
5 La 0.2500 0.7500 0.5000  4 La 2.76

--- b ---
Compound: La2Sc2Ru
Source: Alexandria via LeMat-Bulk
Functional: GGA-PBE
Structure: optimized geometry

Calculated values
Space-group type: P4/mbm (127)
Crystal system: tetragonal
Calculated volume in A^3/atom: 26.6
Fermi-level density of states in states/eV/atom: 1.186

a b c (Å): 6.7934 6.7934 5.7668
angles (deg): 90.00 90.00 90.00
Last column: nearest neighbours and their distance in Å.
Fractional coordinates of all 10 atoms:
1 Sc 0.3366 0.8366 0.0000  2 Ru 2.54
2 Sc 0.8366 0.6634 0.0000  2 Ru 2.54
3 Sc 0.6634 0.1634 0.0000  2 Ru 2.54
4 Sc 0.1634 0.3366 0.0000  2 Ru 2.54
5 Ru 0.0000 0.0000 0.0000  4 Sc 2.54
6 Ru 0.5000 0.5000 0.0000  4 Sc 2.54
7 La 0.1706 0.6706 0.5000  5 La 3.28-3.56, 6 Sc 3.30-3.67
8 La 0.6706 0.8294 0.5000  5 La 3.28-3.56, 6 Sc 3.30-3.67
9 La 0.8294 0.3294 0.5000  5 La 3.28-3.56, 6 Sc 3.30-3.67
10 La 0.3294 0.1706 0.5000  5 La 3.28-3.56, 6 Sc 3.30-3.67

Most stable one: b, least stable one: a.

--- a ---
Compound: LaSc3Ru
Source: Alexandria via LeMat-Bulk
Functional: GGA-PBE
Structure: optimized geometry

Calculated values
Space-group type: Pm-3m (221)
Crystal system: cubic
Calculated volume in A^3/atom: 26.4
Fermi-level density of states in states/eV/atom: 0.992

a b c (Å): 5.0923 5.0923 5.0923
angles (deg): 90.00 90.00 90.00
Last column: nearest neighbours and their distance in Å.
Fractional coordinates of all 5 atoms:
1 Sc 0.0000 0.5000 0.0000  2 Ru 2.55
2 Sc 0.0000 0.0000 0.5000  2 Ru 2.55
3 Sc 0.5000 0.0000 0.0000  2 Ru 2.55
4 Ru 0.0000 0.0000 0.0000  6 Sc 2.55
5 La 0.5000 0.5000 0.5000  12 Sc 3.60

--- b ---
Compound: LaSc3Ru
Source: Alexandria via LeMat-Bulk
Functional: GGA-PBE
Structure: optimized geometry

Calculated values
Space-group type: Pm-3m (221)
Crystal system: cubic
Calculated volume in A^3/atom: 25.1
Fermi-level density of states in states/eV/atom: 1.323

a b c (Å): 5.0037 5.0037 5.0037
angles (deg): 90.00 90.00 90.00
Last column: nearest neighbours and their distance in Å.
Fractional coordinates of all 5 atoms:
1 Sc 0.0000 0.5000 0.0000  2 La 2.50
2 Sc 0.0000 0.0000 0.5000  2 La 2.50
3 Sc 0.5000 0.0000 0.0000  2 La 2.50
4 Ru 0.5000 0.5000 0.5000  12 Sc 3.54
5 La 0.0000 0.0000 0.0000  6 Sc 2.50

Most stable one: a, least stable one: b.